KCd2HgAu | PBE-GGA | optimized geometry

Calculated values
**Distance to the lowest polymorph of the same formula**: 3.1 kJ/mol of atoms
**E_tot**: -1.42 eV/atom
**Formation energy**: -117 meV per atom
**SG**: P4/mmm (123)

a b c (Å): 5.3829 5.3829 5.4909
angles (deg): 90.00 90.00 90.00
With the nearest neighbours (Å) after each atom.
Fractional coordinates of all 5 atoms:
K  0.0000  0.0000  0.0000  4 Hg 3.81, 8 Cd 3.84
Cd  0.0000  0.5000  0.5000  2 Au 2.69
Cd  0.5000  0.0000  0.5000  2 Au 2.69
Hg  0.5000  0.5000  0.0000  2 Au 2.75
Au  0.5000  0.5000  0.5000  4 Cd 2.69, 2 Hg 2.75